First-principles (SCAN) data for a PBEsol-optimized structure of HfAlSb2Te, as listed in Alexandria via LeMat-Bulk.

Computed properties:
space-group type: No. 123
formation energy from raw total energies: 0.727 eV/atom

Cell: 5.094 5.094 5.205 Å, 90.00 90.00 90.00°
Positions (direct):
Hf1 0.000 0.000 0.000
Al1 0.500 0.500 0.500
Sb1 0.000 0.500 0.500
Sb2 0.500 0.000 0.500
Te1 0.500 0.500 0.000

=====

First-principles (SCAN) data for a PBEsol-optimized structure of BeBCl2, as listed in Alexandria via LeMat-Bulk.

Computed properties:
space-group type: No. 166
formation energy from raw total energies: 0.586 eV/atom

Cell: 8.757 8.757 8.757 Å, 22.26 22.26 22.26°
Positions (direct):
Be1 0.000 0.000 0.000
B1 0.500 0.500 0.500
Cl1 0.070 0.070 0.070
Cl2 0.930 0.930 0.930

=====

First-principles (SCAN) data for a PBEsol-optimized structure of Sc2PtBr, as listed in Alexandria via LeMat-Bulk.

Computed properties:
space-group type: No. 160
formation energy from raw total energies: -0.775 eV/atom

Cell: 9.201 9.201 9.201 Å, 21.45 21.45 21.45°
Positions (direct):
Sc1 0.000 0.000 0.000
Sc2 0.230 0.230 0.230
Pt1 0.504 0.504 0.504
Br1 0.734 0.734 0.734

=====

First-principles (SCAN) data for a PBEsol-optimized structure of BeP2Pt, as listed in Alexandria via LeMat-Bulk.

Computed properties:
energy of formation from the pure elements: -0.245 eV per atom
space-group type: No. 122

Cell: 6.087 6.087 6.087 Å, 129.13 129.13 74.80°
Positions (direct):
Be1 0.000 0.000 0.000
Be2 0.750 0.250 0.500
P1 0.098 0.625 0.973
P2 0.375 0.348 0.473
P3 0.652 0.125 0.027
P4 0.875 0.902 0.527
Pt1 0.250 0.750 0.500
Pt2 0.500 0.500 0.000

=====

First-principles (SCAN) data for a PBEsol-optimized structure of Tl2PtCl6, as listed in Alexandria via LeMat-Bulk.

Computed properties:
space-group type: No. 225
formation energy from raw total energies: -0.910 eV/atom

Cell: 6.820 6.820 6.820 Å, 60.00 60.00 60.00°
Positions (direct):
Tl1 0.250 0.250 0.250
Tl2 0.750 0.750 0.750
Pt1 0.000 0.000 0.000
Cl1 0.240 0.240 0.760
Cl2 0.240 0.760 0.240
Cl3 0.240 0.760 0.760
Cl4 0.760 0.240 0.240
Cl5 0.760 0.240 0.760
Cl6 0.760 0.760 0.240

=====

First-principles (SCAN) data for a PBEsol-optimized structure of LiNd2Rh, as listed in Alexandria via LeMat-Bulk.

Computed properties:
energy of formation from the pure elements: -0.418 eV per atom
space-group type: No. 225

Cell: 5.023 5.023 5.023 Å, 60.00 60.00 60.00°
Positions (direct):
Li1 0.000 0.000 0.000
Nd1 0.250 0.250 0.250
Nd2 0.750 0.750 0.750
Rh1 0.500 0.500 0.500

=====

First-principles (SCAN) data for a PBEsol-optimized structure of NbOF2, as listed in Alexandria via LeMat-Bulk.

Computed properties:
space-group type: No. 71
formation energy from raw total energies: -2.806 eV/atom

Cell: 5.081 5.081 5.081 Å, 141.14 135.30 60.69°
Positions (direct):
Nb1 0.000 0.000 0.000
O1 0.500 0.000 0.500
F1 0.142 0.642 0.500
F2 0.858 0.358 0.500

=====

First-principles (SCAN) data for a PBEsol-optimized structure of Ba3MoO, as listed in Alexandria via LeMat-Bulk.

Computed properties:
space-group type: No. 221
formation energy from raw total energies: 0.613 eV/atom

Cell: 5.616 5.616 5.616 Å, 90.00 90.00 90.00°
Positions (direct):
Ba1 0.000 0.000 0.500
Ba2 0.000 0.500 0.000
Ba3 0.500 0.000 0.000
Mo1 0.000 0.000 0.000
O1 0.500 0.500 0.500